1.
This record from Alexandria describes a relaxed structure of SrSiCl3. The functional is GGA-PBE.

Computed properties:
- D(E_F): 0.77 states/eV per atom
- Offset from the most stable computed form: 63.5 meV per atom
- Calculated density: 2.1 g/cm³
- Total moment: 1.00 μB/f.u.
- Symmetry: Pm-3m, No. 221
- Formation energy (no corrections): -0.828 eV per atom

Lattice parameters (Å, degrees): 5.605 5.605 5.605 90.00 90.00 90.00
Atoms (fractional coordinates):
Sr  0.000  0.000  0.000
Si  0.500  0.500  0.500
Cl  0.000  0.000  0.500
Cl  0.000  0.500  0.000
Cl  0.500  0.000  0.000


2.
This record from Alexandria describes a relaxed structure of HfSiPO2. The functional is GGA-PBE.

Computed properties:
- D(E_F): 0.28 states/eV per atom
- Offset from the most stable computed form: 15.4 meV per atom
- Calculated density: 7.1 g/cm³
- Total moment: 0.00 μB/f.u.
- Symmetry: P4/mmm, No. 123
- Formation energy (no corrections): -1.226 eV per atom

Lattice parameters (Å, degrees): 3.601 3.601 4.846 90.00 90.00 90.00
Atoms (fractional coordinates):
Hf  0.000  0.000  0.000
Si  0.500  0.500  0.500
P  0.500  0.500  0.000
O  0.000  0.500  0.500
O  0.500  0.000  0.500


3.
This record from Alexandria describes a relaxed structure of Ta4AgHg. The functional is GGA-PBE.

Computed properties:
- D(E_F): 0.97 states/eV per atom
- Energy of formation: 0.57 eV/atom
- Calculated density: 14.5 g/cm³
- Total moment: 0.00 μB/f.u.
- Symmetry: F-43m, No. 216

Lattice parameters (Å, degrees): 5.503 5.503 5.503 60.00 60.00 60.00
Atoms (fractional coordinates):
Ta  0.125  0.125  0.125
Ta  0.125  0.125  0.625
Ta  0.125  0.625  0.125
Ta  0.625  0.125  0.125
Ag  0.750  0.750  0.750
Hg  0.500  0.500  0.500


4.
This record from Alexandria describes a relaxed structure of Dy4Au2O. The functional is GGA-PBE.

Computed properties:
- D(E_F): 1.19 states/eV per atom
- Offset from the most stable computed form: 16.5 meV per atom
- Calculated density: 10.9 g/cm³
- Total moment: 0.00 μB/f.u.
- Symmetry: I4/mmm, No. 139
- Formation energy (no corrections): -1.309 eV per atom

Lattice parameters (Å, degrees): 8.099 8.099 8.099 146.54 146.54 48.04
Atoms (fractional coordinates):
Dy  0.000  0.500  0.500
Dy  0.181  0.181  0.000
Dy  0.500  0.000  0.500
Dy  0.819  0.819  0.000
Au  0.370  0.370  0.000
Au  0.630  0.630  0.000
O  0.000  0.000  0.000


5.
This record from Alexandria describes a relaxed structure of BeSnBSb2. The functional is GGA-PBE.

Computed properties:
- D(E_F): 0.54 states/eV per atom
- Calculated density: 6.1 g/cm³
- Total moment: 0.00 μB/f.u.
- Symmetry: P4/mmm, No. 123
- Formation energy (no corrections): 0.638 eV per atom

Lattice parameters (Å, degrees): 5.367 5.367 3.586 90.00 90.00 90.00
Atoms (fractional coordinates):
Be  0.000  0.000  0.000
Sn  0.500  0.500  0.500
B  0.000  0.000  0.500
Sb  0.000  0.500  0.000
Sb  0.500  0.000  0.000


6.
This record from Alexandria describes a relaxed structure of Zr4CO. The functional is GGA-PBE.

Computed properties:
- D(E_F): 1.13 states/eV per atom
- Offset from the most stable computed form: 10.9 meV per atom
- Calculated density: 6.4 g/cm³
- Total moment: 0.00 μB/f.u.
- Symmetry: P2/m, No. 10
- Formation energy (no corrections): -1.151 eV per atom

Lattice parameters (Å, degrees): 5.318 3.326 5.723 90.00 90.48 90.00
Atoms (fractional coordinates):
Zr  0.247  0.000  0.177
Zr  0.248  0.500  0.665
Zr  0.752  0.500  0.335
Zr  0.753  0.000  0.823
C  0.000  0.000  0.500
O  0.000  0.500  0.000


> What is the calculated density in the fourth record?

10.9 g/cm³


> The lowest calculated density belongs to which entry?

SrSiCl3


> calculated density of number 2 (HfSiPO2)?

7.1 g/cm³